1.
# TlCdW2

A geometry-optimized TlCdW2 structure (GGA-PBE, Alexandria via LeMat-Bulk).

a = 5.6452 Å, b = 5.6452 Å, c = 5.6452 Å
α = 146.46°, β = 130.70°, γ = 60.95°
With the nearest neighbours (Å) after each atom.
Positions (direct):
1 Tl 0.2500 0.7500 0.5000  4 Cd 2.86, 4 W 2.91
2 W 0.0016 0.0016 0.0000  4 W 2.86, 2 Tl 2.91, 2 Cd 2.94
3 W 0.4984 0.4984 0.0000  4 W 2.86, 2 Tl 2.91, 2 Cd 2.94
4 Cd 0.7500 0.2500 0.5000  4 Tl 2.86, 4 W 2.94

Calculated values
- SG: Immm (71)

---

2.
# YTlCd

A geometry-optimized YTlCd structure (GGA-PBE, Alexandria via LeMat-Bulk).

a = 4.9523 Å, b = 4.9523 Å, c = 4.9523 Å
α = 60.00°, β = 60.00°, γ = 60.00°
With the nearest neighbours (Å) after each atom.
Positions (direct):
1 Y 0.2500 0.2500 0.2500  4 Tl 3.03
2 Tl 0.0000 0.0000 0.0000  4 Cd 3.03, 4 Y 3.03
3 Cd 0.7500 0.7500 0.7500  4 Tl 3.03

Calculated values
- SG: F-43m (216)

---

3.
# YTlCd

A geometry-optimized YTlCd structure (GGA-PBE, Alexandria via LeMat-Bulk).

a = 4.7963 Å, b = 5.7706 Å, c = 7.5604 Å
α = 73.26°, β = 108.48°, γ = 65.53°
With the nearest neighbours (Å) after each atom.
Positions (direct):
1 Y 0.9249 0.1137 0.5415  5 Cd 3.21-3.51, 5 Tl 3.22-3.28
2 Y 0.6435 0.0773 0.9413  6 Cd 3.21-3.42, 4 Tl 3.24-3.27
3 Tl 0.1477 0.5707 0.4420  5 Y 3.22-3.27, 2 Cd 3.28-3.29, 3 Tl 3.41-3.46
4 Tl 0.2703 0.1128 0.2307  5 Cd 3.18-3.48, 4 Y 3.24-3.28, 3 Tl 3.41-3.46
5 Cd 0.7807 0.6034 0.7423  4 Tl 3.18-3.33, 2 Cd 3.22, 6 Y 3.35-3.51
6 Cd 0.4161 0.6234 0.0343  5 Y 3.21-3.31, 2 Cd 3.22, 3 Tl 3.35-3.48

Calculated values
- SG: P1 (1)

---

no.,ΔE_f (eV per atom)
1,0.91
2,-0.20
3,-0.26